This record from Alexandria describes a geometry-optimized MnNbIn2O6 structure. The functional is PBE with a Hubbard U.

```
MnNbIn2O6
1.0
2.776 1.602 4.924
-2.776 1.602 4.924
0.000 -3.205 4.924
Mn Nb In O
1 1 2 6
direct
0.000 0.000 0.000
0.492 0.492 0.492
0.277 0.277 0.277
0.779 0.779 0.779
0.110 0.686 0.386
0.217 0.612 0.835
0.386 0.110 0.686
0.612 0.835 0.217
0.686 0.386 0.110
0.835 0.217 0.612
```

Output
E = -70.60 eV/cell
total magnetic moment = 5.1 μB/cell
crystal system = trigonal